[1]
# ErPaCuTc

A geometry-optimized ErPaCuTc structure (PBE, the Alexandria database).

abc: 6.8599 6.8599 6.8599
angles: 90.00 90.00 90.00
Space group F-43m (No. 216)
Symmetry-distinct sites (fractional):
Er 0.0000 0.0000 0.0000 x4
Pa 0.0000 0.0000 0.5000 x4
Cu 0.2500 0.2500 0.7500 x4
Tc 0.2500 0.2500 0.2500 x4

## Properties
Spin magnetization, μB per formula unit: 0.01
DFT total energy, eV/atom: -7.21

[2]
# ErPaZnCu

A geometry-optimized ErPaZnCu structure (PBE, the Alexandria database).

abc: 6.9808 6.9808 6.9808
angles: 90.00 90.00 90.00
Space group F-43m (No. 216)
Symmetry-distinct sites (fractional):
Er 0.0000 0.0000 0.0000 x4
Pa 0.0000 0.0000 0.5000 x4
Zn 0.2500 0.2500 0.7500 x4
Cu 0.2500 0.2500 0.2500 x4

## Properties
Spin magnetization, μB per formula unit: 1.00
DFT total energy, eV/atom: -4.83

[3]
# Er2CuPb

A geometry-optimized Er2CuPb structure (PBE, the Alexandria database).

abc: 3.6839 3.6839 29.6232
angles: 90.00 90.00 120.00
Space group R-3m (No. 166, hexagonal axes)
Symmetry-distinct sites (fractional):
Er 0.0000 0.0000 0.1061 x6
Cu 0.0000 0.0000 0.5000 x3
Pb 0.0000 0.0000 0.0000 x3

## Properties
Spin magnetization, μB per formula unit: 0.00
DFT total energy, eV/atom: -4.16

[4]
# Er3CuPb

A geometry-optimized Er3CuPb structure (PBE, the Alexandria database).

abc: 22.6517 4.5854 4.9006
angles: 90.00 90.49 90.00
Space group C2/m (No. 12)
Symmetry-distinct sites (fractional):
Er 0.0529 0.0000 0.2505 x4
Er 0.1697 0.0000 0.7502 x4
Er 0.1772 0.5000 0.2604 x4
Cu 0.2503 0.0000 0.2148 x4
Pb 0.0668 0.5000 0.7517 x4

## Properties
Spin magnetization, μB per formula unit: 0.00
DFT total energy, eV/atom: -4.60

[5]
# ErCuPb2

A geometry-optimized ErCuPb2 structure (PBE, the Alexandria database).

abc: 3.4807 3.4807 31.1266
angles: 90.00 90.00 120.00
Space group R-3m (No. 166, hexagonal axes)
Symmetry-distinct sites (fractional):
Er 0.0000 0.0000 0.0000 x3
Cu 0.0000 0.0000 0.5000 x3
Pb 0.0000 0.0000 0.1012 x6

## Properties
Energy relative to the lowest polymorph listed for this composition, meV per atom: 348
Spin magnetization, μB per formula unit: 0.00
DFT total energy, eV/atom: -3.81

[6]
# Er5CuPb3

A geometry-optimized Er5CuPb3 structure (PBE, the Alexandria database).

abc: 9.1314 9.1314 6.6202
angles: 90.00 90.00 120.00
Space group P6_3/mcm (No. 193)
Symmetry-distinct sites (fractional):
Er 0.0000 0.2531 0.2500 x6
Er 0.3333 0.6667 0.0000 x4
Cu 0.0000 0.0000 0.0000 x2
Pb 0.0000 0.3896 0.7500 x6

## Properties
Spin magnetization, μB per formula unit: 0.00
DFT total energy, eV/atom: -4.70

[7]
# Er2CuPb

A geometry-optimized Er2CuPb structure (PBE, the Alexandria database).

abc: 3.4487 3.4487 8.1061
angles: 90.00 90.00 90.00
Space group P4/mmm (No. 123)
Symmetry-distinct sites (fractional):
Er 0.0000 0.0000 0.2124 x2
Cu 0.5000 0.5000 0.0000 x1
Pb 0.5000 0.5000 0.5000 x1

## Properties
Spin magnetization, μB per formula unit: 0.00
DFT total energy, eV/atom: -4.54

[8]
# ErCuPb2

A geometry-optimized ErCuPb2 structure (PBE, the Alexandria database).

abc: 4.6867 4.6867 4.4118
angles: 90.00 90.00 90.00
Space group P4/mmm (No. 123)
Symmetry-distinct sites (fractional):
Er 0.0000 0.0000 0.0000 x1
Cu 0.5000 0.5000 0.0000 x1
Pb 0.0000 0.5000 0.5000 x2

## Properties
Energy relative to the lowest polymorph listed for this composition, meV per atom: 0
Spin magnetization, μB per formula unit: 0.00
DFT total energy, eV/atom: -4.16

[9]
# Er2CuPb

A geometry-optimized Er2CuPb structure (PBE, the Alexandria database).

abc: 4.9315 4.9315 3.9978
angles: 90.00 90.00 90.00
Space group P4/mmm (No. 123)
Symmetry-distinct sites (fractional):
Er 0.0000 0.5000 0.0000 x2
Cu 0.0000 0.0000 0.5000 x1
Pb 0.5000 0.5000 0.5000 x1

## Properties
Spin magnetization, μB per formula unit: 0.28
DFT total energy, eV/atom: -4.50

[10]
# Er8Cu2Pb

A geometry-optimized Er8Cu2Pb structure (PBE, the Alexandria database).

abc: 8.7247 13.3695 5.3409
angles: 90.00 105.42 90.00
Space group C2/m (No. 12)
Symmetry-distinct sites (fractional):
Er 0.0000 0.2440 0.0000 x4
Er 0.1039 0.5000 0.8013 x4
Er 0.2077 0.1267 0.5918 x8
Cu 0.0000 0.3064 0.5000 x4
Pb 0.0000 0.0000 0.0000 x2

## Properties
Spin magnetization, μB per formula unit: 1.45
DFT total energy, eV/atom: -4.50

[11]
# ErCuPdPb

A geometry-optimized ErCuPdPb structure (PBE, the Alexandria database).

abc: 6.8078 6.8078 6.8078
angles: 90.00 90.00 90.00
Space group F-43m (No. 216)
Symmetry-distinct sites (fractional):
Er 0.0000 0.0000 0.0000 x4
Cu 0.2500 0.2500 0.7500 x4
Pd 0.2500 0.2500 0.2500 x4
Pb 0.0000 0.0000 0.5000 x4

## Properties
Spin magnetization, μB per formula unit: 0.00
DFT total energy, eV/atom: -4.84

[12]
# PmErCuPb

A geometry-optimized PmErCuPb structure (PBE, the Alexandria database).

abc: 7.4219 7.4219 7.4219
angles: 90.00 90.00 90.00
Space group F-43m (No. 216)
Symmetry-distinct sites (fractional):
Pm 0.0000 0.0000 0.0000 x4
Er 0.0000 0.0000 0.5000 x4
Cu 0.2500 0.2500 0.2500 x4
Pb 0.2500 0.2500 0.7500 x4

## Properties
Spin magnetization, μB per formula unit: 0.11
DFT total energy, eV/atom: -4.57